1.
Compound: LaMgNi3
Source: the Alexandria database
Functional: PBE
Structure: relaxed

a = 4.5454 Å, b = 4.5454 Å, c = 4.5454 Å
α = 90.00°, β = 90.00°, γ = 90.00°
With the nearest neighbours (Å) after each atom.
Element x y z (fractional)
La 0.0000 0.0000 0.0000  12 Ni 3.21
Mg 0.5000 0.5000 0.5000  6 Ni 2.27
Ni 0.0000 0.5000 0.5000  2 Mg 2.27
Ni 0.5000 0.0000 0.5000  2 Mg 2.27
Ni 0.5000 0.5000 0.0000  2 Mg 2.27

## Properties
Uncorrected energy in eV per atom: -4.45
Excess energy over the best structure of this formula in the dataset in eV per atom: 0.000
SG: Pm-3m (221)

2.
Compound: LaMg9Ni3
Source: the Alexandria database
Functional: PBE
Structure: relaxed

a = 7.5705 Å, b = 7.5705 Å, c = 7.0544 Å
α = 97.10°, β = 97.10°, γ = 137.72°
With the nearest neighbours (Å) after each atom.
Element x y z (fractional)
La 0.0000 0.0000 0.0000  14 Mg 3.33-3.53, 2 Ni 3.65
Mg 0.0000 0.0000 0.5000  2 Ni 2.73, 4 Mg 2.93
Mg 0.0316 0.6707 0.6774  2 Ni 2.70-2.74, 2 Mg 2.90-2.99
Mg 0.2997 0.5272 0.7841  3 Ni 2.73-2.78, 5 Mg 2.86-3.05
Mg 0.3293 0.9684 0.3226  2 Ni 2.70-2.74, 2 Mg 2.90-2.99
Mg 0.4728 0.7003 0.2159  3 Ni 2.73-2.78, 5 Mg 2.86-3.05
Mg 0.5272 0.2997 0.7841  3 Ni 2.73-2.78, 5 Mg 2.86-3.05
Mg 0.6707 0.0316 0.6774  2 Ni 2.70-2.74, 2 Mg 2.90-2.99
Mg 0.7003 0.4728 0.2159  3 Ni 2.73-2.78, 5 Mg 2.86-3.05
Mg 0.9684 0.3293 0.3226  2 Ni 2.70-2.74, 2 Mg 2.90-2.99
Ni 0.0000 0.5000 0.0000  8 Mg 2.70-2.78, 2 Ni 2.73
Ni 0.5000 0.0000 0.0000  8 Mg 2.70-2.78, 2 Ni 2.73
Ni 0.5000 0.5000 0.5000  6 Mg 2.73

## Properties
Uncorrected energy in eV per atom: -2.93
SG: C2/m (12)

3.
Compound: LaMgNi17
Source: the Alexandria database
Functional: PBE
Structure: relaxed

a = 6.2530 Å, b = 6.2530 Å, c = 6.2530 Å
α = 83.04°, β = 83.04°, γ = 83.04°
With the nearest neighbours (Å) after each atom.
Element x y z (fractional)
La 0.0000 0.0000 0.0000  19 Ni 2.96-3.21
Mg 0.3180 0.3180 0.3180  16 Ni 2.85-3.16
Ni 0.0049 0.0049 0.4995  9 Ni 2.41-2.62
Ni 0.0049 0.4995 0.0049  9 Ni 2.41-2.62
Ni 0.1544 0.6556 0.6556  10 Ni 2.36-2.53
Ni 0.3134 0.3134 0.8017  9 Ni 2.37-2.53
Ni 0.3134 0.8017 0.3134  9 Ni 2.37-2.53
Ni 0.3637 0.6531 0.9496  8 Ni 2.36-2.53
Ni 0.3637 0.9496 0.6531  8 Ni 2.36-2.53
Ni 0.4995 0.0049 0.0049  9 Ni 2.41-2.62
Ni 0.5542 0.5542 0.5542  7 Ni 2.39-2.53
Ni 0.6531 0.3637 0.9496  8 Ni 2.36-2.53
Ni 0.6531 0.9496 0.3637  8 Ni 2.36-2.53
Ni 0.6556 0.1544 0.6556  10 Ni 2.36-2.53
Ni 0.6556 0.6556 0.1544  10 Ni 2.36-2.53
Ni 0.7523 0.7523 0.7523  7 Ni 2.39-2.62
Ni 0.8017 0.3134 0.3134  9 Ni 2.37-2.53
Ni 0.9496 0.3637 0.6531  8 Ni 2.36-2.53
Ni 0.9496 0.6531 0.3637  8 Ni 2.36-2.53

## Properties
Uncorrected energy in eV per atom: -5.59
SG: R3m (160)

4.
Compound: La11Mg9Ni4
Source: the Alexandria database
Functional: PBE
Structure: relaxed

a = 13.6982 Å, b = 13.6982 Å, c = 3.8350 Å
α = 90.00°, β = 90.00°, γ = 112.71°
With the nearest neighbours (Å) after each atom.
Element x y z (fractional)
La 0.0000 0.0000 0.0000  8 Mg 3.38, 2 La 3.55
La 0.0851 0.4201 0.0000  2 Ni 2.88
La 0.1555 0.8445 0.0000  8 Mg 3.42-3.55, 1 La 3.55
La 0.3127 0.3127 0.0000  4 Ni 3.02
La 0.3725 0.6275 0.0000  4 Ni 3.04
La 0.4201 0.0851 0.0000  2 Ni 2.88
La 0.5799 0.9149 0.0000  2 Ni 2.88
La 0.6275 0.3725 0.0000  4 Ni 3.04
La 0.6873 0.6873 0.0000  4 Ni 3.02
La 0.8445 0.1555 0.0000  8 Mg 3.42-3.55, 1 La 3.55
La 0.9149 0.5799 0.0000  2 Ni 2.88
Mg 0.0796 0.2200 0.5000  1 Ni 3.11, 1 Mg 3.20, 4 La 3.32-3.38
Mg 0.1554 0.6373 0.5000  1 Mg 3.15, 1 Ni 3.31, 4 La 3.35-3.42
Mg 0.2200 0.0796 0.5000  1 Ni 3.11, 1 Mg 3.20, 4 La 3.32-3.38
Mg 0.3627 0.8446 0.5000  1 Mg 3.15, 1 Ni 3.31, 4 La 3.35-3.42
Mg 0.5000 0.5000 0.5000  4 Ni 3.20, 8 La 3.43-3.48
Mg 0.6373 0.1554 0.5000  1 Mg 3.15, 1 Ni 3.31, 4 La 3.35-3.42
Mg 0.7800 0.9204 0.5000  1 Ni 3.11, 1 Mg 3.20, 4 La 3.32-3.38
Mg 0.8446 0.3627 0.5000  1 Mg 3.15, 1 Ni 3.31, 4 La 3.35-3.42
Mg 0.9204 0.7800 0.5000  1 Ni 3.11, 1 Mg 3.20, 4 La 3.32-3.38
Ni 0.2513 0.4494 0.5000  6 La 2.88-3.04, 2 Mg 3.11-3.20
Ni 0.4494 0.2513 0.5000  6 La 2.88-3.04, 2 Mg 3.11-3.20
Ni 0.5506 0.7487 0.5000  6 La 2.88-3.04, 2 Mg 3.11-3.20
Ni 0.7487 0.5506 0.5000  6 La 2.88-3.04, 2 Mg 3.11-3.20

## Properties
Uncorrected energy in eV per atom: -4.02
SG: Cmmm (65)

5.
Compound: La2MgNi
Source: the Alexandria database
Functional: PBE
Structure: relaxed

a = 6.7189 Å, b = 6.7189 Å, c = 6.7189 Å
α = 103.24°, β = 103.24°, γ = 122.82°
With the nearest neighbours (Å) after each atom.
Element x y z (fractional)
La 0.0614 0.6250 0.9364  2 Ni 2.72
La 0.3750 0.3114 0.4364  2 Ni 2.72
La 0.6886 0.1250 0.0636  2 Ni 2.72
La 0.8750 0.9386 0.5636  2 Ni 2.72
Mg 0.2500 0.7500 0.5000  2 Ni 3.22, 8 La 3.44-3.55
Mg 0.5000 0.5000 0.0000  2 Ni 3.22, 8 La 3.44-3.55
Ni 0.0000 0.0000 0.0000  4 La 2.72
Ni 0.7500 0.2500 0.5000  4 La 2.72

## Properties
Uncorrected energy in eV per atom: -4.29
SG: I-42d (122)

6.
Compound: La4MgNi
Source: the Alexandria database
Functional: PBE
Structure: relaxed

a = 10.1018 Å, b = 10.1018 Å, c = 10.1018 Å
α = 60.00°, β = 60.00°, γ = 60.00°
With the nearest neighbours (Å) after each atom.
Element x y z (fractional)
La 0.0596 0.0596 0.4404  2 Ni 2.96
La 0.0596 0.4404 0.0596  2 Ni 2.96
La 0.0596 0.4404 0.4404  2 Ni 2.96
La 0.1878 0.1878 0.8122  2 Mg 3.47, 2 Ni 3.64, 10 La 3.65-3.79
La 0.1878 0.8122 0.1878  2 Mg 3.47, 2 Ni 3.64, 10 La 3.65-3.79
La 0.1878 0.8122 0.8122  2 Mg 3.47, 2 Ni 3.64, 10 La 3.65-3.79
La 0.2137 0.5954 0.5954  3 Ni 2.91
La 0.4404 0.0596 0.0596  2 Ni 2.96
La 0.4404 0.0596 0.4404  2 Ni 2.96
La 0.4404 0.4404 0.0596  2 Ni 2.96
La 0.5954 0.2137 0.5954  3 Ni 2.91
La 0.5954 0.5954 0.2137  3 Ni 2.91
La 0.5954 0.5954 0.5954  3 Ni 2.91
La 0.8122 0.1878 0.1878  2 Mg 3.47, 2 Ni 3.64, 10 La 3.65-3.79
La 0.8122 0.1878 0.8122  2 Mg 3.47, 2 Ni 3.64, 10 La 3.65-3.79
La 0.8122 0.8122 0.1878  2 Mg 3.47, 2 Ni 3.64, 10 La 3.65-3.79
Mg 0.5147 0.8284 0.8284  3 Mg 3.17, 3 La 3.47
Mg 0.8284 0.5147 0.8284  3 Mg 3.17, 3 La 3.47
Mg 0.8284 0.8284 0.5147  3 Mg 3.17, 3 La 3.47
Mg 0.8284 0.8284 0.8284  3 Mg 3.17, 3 La 3.47
Ni 0.3923 0.3923 0.3923  6 La 2.91-2.96
Ni 0.3923 0.3923 0.8230  6 La 2.91-2.96
Ni 0.3923 0.8230 0.3923  6 La 2.91-2.96
Ni 0.8230 0.3923 0.3923  6 La 2.91-2.96

## Properties
Uncorrected energy in eV per atom: -4.69
Excess energy over the best structure of this formula in the dataset in eV per atom: 0.000
SG: F-43m (216)

7.
Compound: LaMg3Ni8
Source: the Alexandria database
Functional: PBE
Structure: relaxed

a = 8.6064 Å, b = 8.6064 Å, c = 8.6064 Å
α = 33.22°, β = 33.22°, γ = 33.22°
With the nearest neighbours (Å) after each atom.
Element x y z (fractional)
La 0.0000 0.0000 0.0000  12 Ni 2.89-3.00, 4 Mg 3.13-3.15
Mg 0.1291 0.1291 0.1291  12 Ni 2.73-2.92, 3 Mg 2.96
Mg 0.4959 0.4959 0.4959  12 Ni 2.77-2.90, 4 Mg 2.85-2.96
Mg 0.6127 0.6127 0.6127  9 Ni 2.79-2.94, 1 Mg 2.85
Ni 0.0610 0.0610 0.5542  6 Ni 2.43-2.50
Ni 0.0610 0.5542 0.0610  6 Ni 2.43-2.50
Ni 0.0665 0.5641 0.5641  6 Ni 2.42-2.56
Ni 0.3105 0.3105 0.3105  6 Ni 2.50-2.56
Ni 0.5542 0.0610 0.0610  6 Ni 2.43-2.50
Ni 0.5641 0.0665 0.5641  6 Ni 2.42-2.56
Ni 0.5641 0.5641 0.0665  6 Ni 2.42-2.56
Ni 0.8119 0.8119 0.8119  6 Ni 2.42-2.43

## Properties
Uncorrected energy in eV per atom: -4.92
SG: R3m (160)

8.
Compound: La2MgNi
Source: the Alexandria database
Functional: PBE
Structure: relaxed

a = 6.0498 Å, b = 6.0498 Å, c = 6.0498 Å
α = 136.87°, β = 136.87°, γ = 62.63°
With the nearest neighbours (Å) after each atom.
Element x y z (fractional)
La 0.0000 0.0000 0.0000  4 Ni 3.14, 4 La 3.41, 4 Mg 3.41
La 0.7500 0.2500 0.5000  4 Mg 3.14, 4 La 3.41, 4 Ni 3.41
Mg 0.2500 0.7500 0.5000  8 La 3.14-3.41, 4 Ni 3.41
Ni 0.5000 0.5000 0.0000  8 La 3.14-3.41, 4 Mg 3.41

## Properties
Uncorrected energy in eV per atom: -4.25
SG: I-4m2 (119)

9.
Compound: LaMg14Ni
Source: the Alexandria database
Functional: PBE
Structure: relaxed

a = 10.2500 Å, b = 6.6567 Å, c = 6.6567 Å
α = 54.76°, β = 90.00°, γ = 90.00°
With the nearest neighbours (Å) after each atom.
Element x y z (fractional)
La 0.0000 0.0000 0.0000  2 Ni 3.12, 10 Mg 3.21-3.33
Mg 0.0000 0.0162 0.4915  1 Ni 2.72, 3 Mg 2.91-3.00
Mg 0.0000 0.4915 0.0162  1 Ni 2.72, 3 Mg 2.91-3.00
Mg 0.2012 0.6113 0.6113  1 Ni 2.82, 6 Mg 3.11-3.16
Mg 0.2522 0.1358 0.6307  8 Mg 3.00-3.23, 1 Ni 3.09, 1 La 3.31
Mg 0.2522 0.6307 0.1358  8 Mg 3.00-3.23, 1 Ni 3.09, 1 La 3.31
Mg 0.2669 0.1427 0.1427  9 Mg 3.03-3.37, 1 La 3.21
Mg 0.5000 0.4823 0.4823  12 Mg 3.06-3.42
Mg 0.5000 0.4846 0.9732  8 Mg 2.99-3.28
Mg 0.5000 0.9732 0.4846  8 Mg 2.99-3.28
Mg 0.5000 0.9742 0.9742  12 Mg 3.06-3.39
Mg 0.7331 0.1427 0.1427  9 Mg 3.03-3.37, 1 La 3.21
Mg 0.7478 0.1358 0.6307  8 Mg 3.00-3.23, 1 Ni 3.09, 1 La 3.31
Mg 0.7478 0.6307 0.1358  8 Mg 3.00-3.23, 1 Ni 3.09, 1 La 3.31
Mg 0.7988 0.6113 0.6113  1 Ni 2.82, 6 Mg 3.11-3.16
Ni 0.0000 0.4482 0.4482  4 Mg 2.72-2.82

## Properties
Uncorrected energy in eV per atom: -2.05
Excess energy over the best structure of this formula in the dataset in eV per atom: 0.000
SG: Amm2 (38)

10.
Compound: La2MgNi16
Source: the Alexandria database
Functional: PBE
Structure: relaxed

a = 6.3678 Å, b = 6.3678 Å, c = 6.3678 Å
α = 83.16°, β = 83.16°, γ = 83.16°
With the nearest neighbours (Å) after each atom.
Element x y z (fractional)
La 0.0000 0.0000 0.0000  19 Ni 2.88-3.23
La 0.3115 0.3115 0.3115  18 Ni 3.00-3.32, 1 Mg 3.17
Mg 0.5694 0.5694 0.5694  7 Ni 2.40-2.65
Ni 0.0000 0.0000 0.5057  9 Ni 2.41-2.60
Ni 0.0000 0.5057 0.0000  9 Ni 2.41-2.60
Ni 0.1540 0.6605 0.6605  9 Ni 2.40-2.52, 1 Mg 2.65
Ni 0.3161 0.3161 0.8137  8 Ni 2.45-2.58, 1 Mg 2.65
Ni 0.3161 0.8137 0.3161  8 Ni 2.45-2.58, 1 Mg 2.65
Ni 0.3645 0.6592 0.9542  8 Ni 2.40-2.60
Ni 0.3645 0.9542 0.6592  8 Ni 2.40-2.60
Ni 0.5057 0.0000 0.0000  9 Ni 2.41-2.60
Ni 0.6592 0.3645 0.9542  8 Ni 2.40-2.60
Ni 0.6592 0.9542 0.3645  8 Ni 2.40-2.60
Ni 0.6605 0.1540 0.6605  9 Ni 2.40-2.52, 1 Mg 2.65
Ni 0.6605 0.6605 0.1540  9 Ni 2.40-2.52, 1 Mg 2.65
Ni 0.7652 0.7652 0.7652  1 Mg 2.40, 6 Ni 2.52-2.56
Ni 0.8137 0.3161 0.3161  8 Ni 2.45-2.58, 1 Mg 2.65
Ni 0.9542 0.3645 0.6592  8 Ni 2.40-2.60
Ni 0.9542 0.6592 0.3645  8 Ni 2.40-2.60

## Properties
Uncorrected energy in eV per atom: -5.66
SG: R3m (160)